No. 1
# CsSc2CrCl8

A geometry-optimized CsSc2CrCl8 structure (PBE-GGA, Alexandria).

```
12
Lattice="3.350 1.934 9.684 -3.350 1.934 9.684 0.000 -3.868 9.684" Properties=species:S:1:pos:R:3 pbc="T T T"
Cs 0.000 0.000 0.000
Sc 0.000 0.000 6.967
Sc 0.000 0.000 22.086
Cr 0.000 0.000 14.526
Cl -1.046 -1.857 12.997
Cl -2.131 -0.022 16.056
Cl 0.000 0.000 9.318
Cl -1.085 1.834 12.997
Cl 1.085 -1.834 16.056
Cl 0.000 0.000 19.735
Cl 2.131 0.022 12.997
Cl 1.046 1.857 16.056
```

Output
* total magnetic moment: 0.42 μB per atom
* calculated density: 2.46 g/cm³

---

No. 2
# Cs2CrSiCl6

A geometry-optimized Cs2CrSiCl6 structure (PBE-GGA, Alexandria).

```
10
Lattice="0.000 5.155 5.155 5.155 0.000 5.155 5.155 5.155 0.000" Properties=species:S:1:pos:R:3 pbc="T T T"
Cs 2.577 2.577 2.577
Cs 7.732 7.732 7.732
Cr 0.000 0.000 0.000
Si 5.155 5.155 5.155
Cl 5.155 5.155 2.530
Cl 5.155 2.530 5.155
Cl 7.780 5.155 5.155
Cl 2.530 5.155 5.155
Cl 5.155 7.780 5.155
Cl 5.155 5.155 7.780
```

Output
* total magnetic moment: 0.40 μB per atom
* calculated density: 3.39 g/cm³

---

No. 3
# CsSmCrCl6

A geometry-optimized CsSmCrCl6 structure (PBE-GGA, Alexandria).

```
9
Lattice="3.565 -5.762 0.000 3.565 5.762 0.000 -0.502 0.000 7.818" Properties=species:S:1:pos:R:3 pbc="T T T"
Cs 0.000 0.000 0.000
Sm 3.315 -1.835 3.909
Cr 3.315 2.112 3.909
Cl 5.732 -1.990 2.588
Cl 2.525 0.392 2.451
Cl 0.897 -1.990 5.230
Cl 4.104 0.392 5.367
Cl 2.098 -3.350 2.120
Cl 4.531 -3.350 5.698
```

Output
* total magnetic moment: 0.44 μB per atom
* calculated density: 2.83 g/cm³

---

No. 4
# CsCrSn2Cl8

A geometry-optimized CsCrSn2Cl8 structure (PBE-GGA, Alexandria).

```
12
Lattice="6.937 0.000 0.000 0.237 7.198 0.000 0.526 2.143 7.906" Properties=species:S:1:pos:R:3 pbc="T T T"
Cs 0.000 0.000 0.000
Cr 0.381 4.671 3.953
Sn 3.407 4.039 2.068
Sn 4.293 5.302 5.839
Cl 0.702 3.479 1.913
Cl 2.023 6.201 3.210
Cl 2.079 3.372 4.948
Cl 3.912 7.522 7.741
Cl 3.788 1.819 0.165
Cl 5.620 5.969 2.959
Cl 5.677 3.140 4.696
Cl 6.998 5.862 5.994
```

Output
* total magnetic moment: 0.25 μB per atom
* calculated density: 2.97 g/cm³

---

No. 5
# CsCrSnCl6

A geometry-optimized CsCrSnCl6 structure (PBE-GGA, Alexandria).

```
9
Lattice="6.960 0.000 0.000 -3.480 6.028 0.000 0.000 0.000 7.550" Properties=species:S:1:pos:R:3 pbc="T T T"
Cs 0.000 0.000 0.000
Cr 3.480 2.009 3.775
Sn 0.000 4.018 3.775
Cl 2.574 0.313 5.170
Cl 1.558 2.073 2.380
Cl 4.386 0.313 2.380
Cl 2.464 3.642 5.170
Cl 5.402 2.073 5.170
Cl 4.496 3.642 2.380
```

Output
* total magnetic moment: 0.33 μB per atom
* calculated density: 2.71 g/cm³

---

No. 6
# Cs3Cr2SnCl9

A geometry-optimized Cs3Cr2SnCl9 structure (PBE-GGA, Alexandria).

```
15
Lattice="7.403 0.000 0.000 -3.701 6.411 0.000 0.000 0.000 9.119" Properties=species:S:1:pos:R:3 pbc="T T T"
Cs 0.000 0.000 0.000
Cs 0.000 4.274 6.107
Cs 3.701 2.137 3.012
Cr 0.000 4.274 1.393
Cr 3.701 2.137 7.726
Sn 0.000 0.000 4.559
Cl -1.851 3.206 0.000
Cl 0.000 2.262 2.887
Cl -1.743 5.280 2.887
Cl 1.959 1.131 6.232
Cl 3.701 0.000 0.000
Cl 1.851 3.206 0.000
Cl 1.743 5.280 2.887
Cl 5.444 1.131 6.232
Cl 3.701 4.149 6.232
```

Output
* total magnetic moment: 0.53 μB per atom
* calculated density: 3.61 g/cm³

---

Calculated values (eV/atom) of E_form (uncorrected) for the records, taken in order: -1.72, -1.26, -1.79, -1.24, -1.29, -1.41.